# 1
A geometry-optimized SmCdIn structure, computed with PBE.

Cell lengths 3.6341, 3.6341, 6.5262 Å; angles 106.17, 106.17, 90.00 degrees
Closest atoms and distances in Å follow each position.
Sites, in units of the cell vectors:
In (0.6057, 0.6057, 0.2114)  4 Cd 3.11, 4 Sm 3.35
Sm (0.2851, 0.2851, 0.5701)  4 Cd 3.31, 4 In 3.35, 4 Sm 3.63
Cd (0.9592, 0.9592, 0.9185)  4 In 3.11, 4 Sm 3.31

Crystal system   tetragonal
N(E_F)   2.22 states/eV/f.u.



# 2
A geometry-optimized SmCdInSn structure, computed with PBE.

Cell lengths 4.5383, 4.8220, 4.6512 Å; angles 90.00, 90.00, 90.00 degrees
Closest atoms and distances in Å follow each position.
Sites, in units of the cell vectors:
In (0.0000, 0.0000, 0.0000)  4 Cd 3.25, 4 Sm 3.31, 4 Sn 3.35
Sn (0.0000, 0.5000, 0.5000)  4 Sm 3.25, 4 Cd 3.31, 4 In 3.35
Sm (0.5000, 0.5000, 0.0000)  4 Sn 3.25, 4 In 3.31, 4 Cd 3.35
Cd (0.5000, 0.0000, 0.5000)  4 In 3.25, 4 Sn 3.31, 4 Sm 3.35

Crystal system   orthorhombic
N(E_F)   1.95 states/eV/f.u.



# 3
A geometry-optimized SrSmCdIn structure, computed with PBE.

Cell lengths 3.8936, 3.8936, 8.0720 Å; angles 90.00, 90.00, 90.00 degrees
Closest atoms and distances in Å follow each position.
Sites, in units of the cell vectors:
In (0.5000, 0.5000, 0.1299)  4 Sm 3.32, 4 Sr 3.53, 1 Cd 3.66
Sr (0.0000, 0.0000, 0.8555)  4 Cd 3.52, 4 In 3.53, 4 Sr 3.89
Sm (0.0000, 0.0000, 0.3592)  4 Cd 3.30, 4 In 3.32
Cd (0.5000, 0.5000, 0.5835)  4 Sm 3.30, 4 Sr 3.52, 1 In 3.66

Energy relative to the lowest polymorph listed for this composition   0 meV per atom
Crystal system   tetragonal
N(E_F)   2.61 states/eV/f.u.



In order of appearance, calculated formation energy = -0.8 -1.9 -1.6 eV per formula unit.